(1)
Here is a relaxed InTe2Au crystal from Alexandria. Energies are from GGA-PBE.

Unit cell a=4.566 b=7.125 c=8.693 alpha=92.18 beta=102.35 gamma=93.84
Positions (direct):
In 0.039 0.341 0.186
In 0.961 0.659 0.814
Te 0.125 0.751 0.146
Te 0.392 0.731 0.625
Te 0.608 0.269 0.375
Te 0.875 0.249 0.854
Au 0.295 0.045 0.779
Au 0.705 0.955 0.221

Properties
As for the magnetization: 0.00 μB/f.u.


(2)
Here is a relaxed InTe2Au crystal from Alexandria. Energies are from GGA-PBE.

Unit cell a=4.267 b=4.267 c=5.971 alpha=90.00 beta=90.00 gamma=90.00
Positions (direct):
In 0.000 0.000 0.000
Te 0.000 0.000 0.500
Te 0.500 0.500 0.000
Au 0.500 0.500 0.500

Properties
As for the magnetization: 0.00 μB/f.u.


(3)
Here is a relaxed InTe2Au crystal from Alexandria. Energies are from GGA-PBE.

Unit cell a=4.625 b=4.625 c=7.589 alpha=90.00 beta=90.00 gamma=120.00
Positions (direct):
In 0.000 0.000 0.000
Te 0.000 0.000 0.373
Te 0.333 0.667 0.841
Au 0.667 0.333 0.380

Properties
As for the magnetization: 0.00 μB/f.u.


(4)
Here is a relaxed InTe2Au crystal from Alexandria. Energies are from GGA-PBE.

Unit cell a=5.424 b=7.270 c=7.263 alpha=90.00 beta=90.00 gamma=90.00
Positions (direct):
In 0.000 0.000 0.250
In 0.000 0.000 0.750
Te 0.292 0.215 0.000
Te 0.292 0.785 0.500
Te 0.708 0.215 0.500
Te 0.708 0.785 0.000
Au 0.000 0.500 0.000
Au 0.000 0.500 0.500

Properties
As for the magnetization: 0.00 μB/f.u.


(5)
Here is a relaxed In2TeAu2 crystal from Alexandria. Energies are from GGA-PBE.

Unit cell a=6.994 b=6.994 c=6.994 alpha=142.99 beta=142.99 gamma=53.34
Positions (direct):
In 0.250 0.750 0.500
In 0.750 0.250 0.500
Te 0.000 0.000 0.000
Au 0.391 0.391 0.000
Au 0.609 0.609 0.000

Properties
The energy above the most stable polymorph in this dataset is 88 meV per atom. As for the magnetization: 0.00 μB/f.u.


(6)
Here is a relaxed InTe2Au crystal from Alexandria. Energies are from GGA-PBE.

Unit cell a=6.291 b=6.732 c=7.165 alpha=102.72 beta=106.00 gamma=115.46
Positions (direct):
In 0.000 0.000 0.000
In 0.334 0.466 0.668
Te 0.187 0.495 0.017
Te 0.219 0.823 0.557
Te 0.584 0.275 0.236
Te 0.845 0.030 0.351
Au 0.668 0.215 0.824
Au 0.796 0.610 0.650

Properties
As for the magnetization: 0.00 μB/f.u.


(7)
Here is a relaxed InTeAu2 crystal from Alexandria. Energies are from GGA-PBE.

Unit cell a=7.022 b=7.022 c=7.022 alpha=148.40 beta=146.95 gamma=46.38
Positions (direct):
In 0.000 0.000 0.000
Te 0.215 0.715 0.500
Au 0.433 0.433 0.000
Au 0.765 0.265 0.500

Properties
The energy above the most stable polymorph in this dataset is 87 meV per atom. As for the magnetization: 0.00 μB/f.u.


(8)
Here is a relaxed InTe2Au crystal from Alexandria. Energies are from GGA-PBE.

Unit cell a=7.361 b=7.361 c=7.361 alpha=131.70 beta=131.70 gamma=70.71
Positions (direct):
In 0.375 0.625 0.750
In 0.625 0.375 0.250
Te 0.117 0.367 0.750
Te 0.367 0.117 0.250
Te 0.633 0.883 0.750
Te 0.883 0.633 0.250
Au 0.125 0.875 0.250
Au 0.875 0.125 0.750

Properties
As for the magnetization: 0.00 μB/f.u.


(9)
Here is a relaxed In2TeAu2 crystal from Alexandria. Energies are from GGA-PBE.

Unit cell a=8.746 b=8.746 c=3.101 alpha=90.00 beta=90.00 gamma=90.00
Positions (direct):
In 0.190 0.310 0.000
In 0.310 0.810 0.000
In 0.690 0.190 0.000
In 0.810 0.690 0.000
Te 0.000 0.000 0.000
Te 0.500 0.500 0.000
Au 0.112 0.612 0.500
Au 0.388 0.112 0.500
Au 0.612 0.888 0.500
Au 0.888 0.388 0.500

Properties
The energy above the most stable polymorph in this dataset is 52 meV per atom. As for the magnetization: 0.00 μB/f.u.


(10)
Here is a relaxed InTe2Au2 crystal from Alexandria. Energies are from GGA-PBE.

Unit cell a=8.379 b=8.379 c=3.658 alpha=90.00 beta=90.00 gamma=90.00
Positions (direct):
In 0.000 0.000 0.000
In 0.500 0.500 0.000
Te 0.190 0.310 0.000
Te 0.310 0.810 0.000
Te 0.690 0.190 0.000
Te 0.810 0.690 0.000
Au 0.119 0.619 0.500
Au 0.381 0.119 0.500
Au 0.619 0.881 0.500
Au 0.881 0.381 0.500

Properties
The energy above the most stable polymorph in this dataset is 137 meV per atom. As for the magnetization: 0.00 μB/f.u.


| no. | ΔE_f (raw) (eV per atom) |
| --- | --- |
| 1 | -0.217 |
| 2 | -0.139 |
| 3 | -0.202 |
| 4 | -0.238 |
| 5 | -0.017 |
| 6 | -0.168 |
| 7 | -0.008 |
| 8 | -0.147 |
| 9 | -0.053 |
| 10 | 0.124 |